# 1
Crystalline Ba14Rh3Au6 at its relaxed geometry, computed with PBE-GGA. Values from VASP.

Crystal system: triclinic
Energy of formation from the pure elements in meV per atom: -442
D(E_F) in states/eV/atom: 0.58
Calculated volume in Å³/f.u.: 913.6

Cell and atoms, written as Quantum ESPRESSO input:
```
&SYSTEM
  ibrav = 0, nat = 23, ntyp = 3
/
ATOMIC_SPECIES
Ba 137.33 Ba.upf
Rh 102.91 Rh.upf
Au 196.97 Au.upf
CELL_PARAMETERS angstrom
-0.123 7.906 -0.468
-1.836 -0.616 -11.428
-8.884 0.206 7.441
ATOMIC_POSITIONS angstrom
Ba -5.835 1.120 -7.231
Ba -6.753 4.968 -5.004
Ba -7.880 0.544 4.708
Ba -5.050 1.333 -2.980
Ba -7.614 4.521 3.586
Ba -3.438 4.863 -7.677
Ba -8.132 3.740 -0.725
Ba -1.672 1.280 -5.682
Ba -1.950 3.004 -11.486
Ba -2.689 5.122 -3.495
Ba -4.354 3.883 0.679
Ba -9.300 7.513 -2.800
Ba -6.581 7.558 0.509
Ba -2.362 7.776 -0.225
Rh -4.238 3.090 -5.345
Rh -8.721 6.546 6.383
Rh -6.825 2.433 1.685
Au -4.806 6.353 3.033
Au -5.596 5.762 -1.966
Au -9.491 6.175 1.287
Au -1.873 2.070 -2.352
Au -7.907 1.838 -4.596
Au -2.898 1.514 -8.794
```

# 2
Crystalline Ba6Rh2Au at its relaxed geometry, computed with PBE-GGA. Values from VASP.

Crystal system: monoclinic
Energy of formation from the pure elements in meV per atom: -250
D(E_F) in states/eV/atom: 0.84
Calculated volume in Å³/f.u.: 413.2

Cell and atoms, written as Quantum ESPRESSO input:
```
&SYSTEM
  ibrav = 0, nat = 9, ntyp = 3
/
ATOMIC_SPECIES
Rh 102.91 Rh.upf
Ba 137.33 Ba.upf
Au 196.97 Au.upf
CELL_PARAMETERS angstrom
-3.105 1.006 5.015
-3.342 -5.945 -4.446
8.348 -2.542 5.680
ATOMIC_POSITIONS angstrom
Rh -0.852 -2.225 -0.081
Rh 2.753 -5.255 6.330
Ba 1.513 -0.732 1.084
Ba 1.881 -2.659 5.269
Ba 4.707 -5.553 4.030
Ba 0.020 -4.821 0.980
Ba 0.388 -6.749 5.165
Ba -2.806 -1.927 2.219
Au 4.174 -1.271 2.840
```

# 3
Crystalline BaRh2Au at its relaxed geometry, computed with PBE-GGA. Values from VASP.

Crystal system: tetragonal
Energy of formation from the pure elements in meV per atom: 265
D(E_F) in states/eV/atom: 1.80
Calculated volume in Å³/f.u.: 84.7

Cell and atoms, written as Quantum ESPRESSO input:
```
&SYSTEM
  ibrav = 0, nat = 4, ntyp = 3
/
ATOMIC_SPECIES
Rh 102.91 Rh.upf
Ba 137.33 Ba.upf
Au 196.97 Au.upf
CELL_PARAMETERS angstrom
-1.094 0.807 -3.265
1.789 -2.767 -1.284
-5.451 -3.923 0.858
ATOMIC_POSITIONS angstrom
Rh -1.051 -0.757 0.165
Rh -4.400 -3.166 0.693
Ba -2.378 -2.942 -1.845
Au 0.348 -0.980 -2.274
```

# 4
Crystalline Ba12RhAu5 at its relaxed geometry, computed with PBE-GGA. Values from VASP.

Crystal system: monoclinic
Energy of formation from the pure elements in meV per atom: -466
D(E_F) in states/eV/atom: 0.81
Calculated volume in Å³/f.u.: 889.0

Cell and atoms, written as Quantum ESPRESSO input:
```
&SYSTEM
  ibrav = 0, nat = 18, ntyp = 3
/
ATOMIC_SPECIES
Ba 137.33 Ba.upf
Au 196.97 Au.upf
Rh 102.91 Rh.upf
CELL_PARAMETERS angstrom
8.220 0.000 0.727
4.110 7.154 0.364
1.388 0.000 15.239
ATOMIC_POSITIONS angstrom
Ba 7.176 0.000 14.036
Ba 3.597 2.384 6.055
Ba 7.707 4.770 6.419
Ba 1.906 0.000 9.493
Ba 6.012 2.384 9.911
Ba 6.543 7.154 2.294
Ba 6.782 2.246 2.316
Ba 7.703 0.000 6.473
Ba 6.936 4.909 14.013
Ba 10.122 4.770 10.275
Ba 10.893 4.909 2.680
Ba 2.826 2.246 13.650
Au 8.914 2.403 8.347
Au 4.110 2.385 0.364
Au 4.804 4.751 7.983
Au 8.220 4.769 0.727
Au 4.804 0.000 7.983
Rh 0.000 0.000 0.000
```

# 5
Crystalline BaRhAu4 at its relaxed geometry, computed with PBE-GGA. Values from VASP.

Crystal system: cubic
Energy of formation from the pure elements in meV per atom: -90
D(E_F) in states/eV/atom: 0.63
Calculated volume in Å³/f.u.: 128.9

Cell and atoms, written as Quantum ESPRESSO input:
```
&SYSTEM
  ibrav = 0, nat = 6, ntyp = 3
/
ATOMIC_SPECIES
Au 196.97 Au.upf
Rh 102.91 Rh.upf
Ba 137.33 Ba.upf
CELL_PARAMETERS angstrom
0.000 4.010 4.010
4.010 0.000 4.010
4.010 4.010 0.000
ATOMIC_POSITIONS angstrom
Au 3.000 3.000 3.000
Au 3.000 5.019 5.019
Au 5.019 5.019 3.000
Au 5.019 3.000 5.019
Rh 0.000 0.000 0.000
Ba 6.014 6.014 6.014
```

# 6
Crystalline Ba6RhAu2S at its relaxed geometry, computed with PBE-GGA. Values from VASP.

ΔE_f (raw) in meV per atom: -701
Crystal system: trigonal
D(E_F) in states/eV/atom: 0.80
Calculated volume in Å³/f.u.: 423.4

Cell and atoms, written as Quantum ESPRESSO input:
```
&SYSTEM
  ibrav = 0, nat = 10, ntyp = 4
/
ATOMIC_SPECIES
Ba 137.33 Ba.upf
Au 196.97 Au.upf
S 32.06 S.upf
Rh 102.91 Rh.upf
CELL_PARAMETERS angstrom
-6.314 -2.610 -4.285
-0.214 -7.620 -2.635
-5.616 -5.510 4.037
ATOMIC_POSITIONS angstrom
Ba -2.993 -9.140 -2.305
Ba -5.249 -4.578 -2.020
Ba -4.870 -7.759 1.491
Ba -7.525 -8.397 -4.516
Ba -8.764 -6.678 -0.261
Ba -7.183 -10.760 -0.756
Au -5.923 -7.778 -1.718
Au -5.498 -5.438 3.818
S -2.263 -3.465 -2.144
Rh -8.329 -11.330 -3.601
```

# 7
Crystalline Ba8SbRhAu2 at its relaxed geometry, computed with PBE-GGA. Values from VASP.

ΔE_f (raw) in meV per atom: -483
Crystal system: monoclinic
D(E_F) in states/eV/atom: 0.76
Calculated volume in Å³/f.u.: 596.7

Cell and atoms, written as Quantum ESPRESSO input:
```
&SYSTEM
  ibrav = 0, nat = 12, ntyp = 4
/
ATOMIC_SPECIES
Ba 137.33 Ba.upf
Au 196.97 Au.upf
Sb 121.76 Sb.upf
Rh 102.91 Rh.upf
CELL_PARAMETERS angstrom
7.888 -0.010 -0.005
0.030 7.696 -0.009
0.006 0.012 9.828
ATOMIC_POSITIONS angstrom
Ba 6.559 1.694 2.209
Ba 2.701 2.062 4.910
Ba 1.365 6.004 7.605
Ba 5.224 5.636 4.904
Ba 6.563 1.701 7.607
Ba 5.427 5.711 9.818
Ba 1.362 5.997 2.207
Ba 2.497 1.987 -0.004
Au 3.961 3.846 2.412
Au 3.964 3.852 7.402
Sb 0.003 0.006 4.914
Rh 0.000 0.000 0.000
```

# 8
Crystalline Ba2SiRhAu at its relaxed geometry, computed with PBE-GGA. Values from VASP.

ΔE_f (raw) in meV per atom: -425
Crystal system: tetragonal
D(E_F) in states/eV/atom: 0.66
Calculated volume in Å³/f.u.: 167.5

Cell and atoms, written as Quantum ESPRESSO input:
```
&SYSTEM
  ibrav = 0, nat = 5, ntyp = 4
/
ATOMIC_SPECIES
Ba 137.33 Ba.upf
Rh 102.91 Rh.upf
Au 196.97 Au.upf
Si 28.09 Si.upf
CELL_PARAMETERS angstrom
-3.060 -4.711 -2.286
5.188 -2.369 -2.062
0.532 -2.250 3.924
ATOMIC_POSITIONS angstrom
Ba 2.594 -1.185 -1.031
Ba -1.530 -2.355 -1.143
Rh 0.000 0.000 0.000
Au 1.330 -4.665 -0.213
Si 0.266 -1.125 1.962
```

Values for calculated total energy, eV/atom, ordered as above
-3.4264, -3.5293, -4.7109, -3.0666, -3.8205, -3.6578, -3.2671, -4.4043